1.
# SrCdRe PBE relaxed
data_SrCdRe
_space_group_name_H-M_alt 'P 1'
_space_group_IT_number 1
_cell_length_a 3.062
_cell_length_b 3.062
_cell_length_c 8.020
_cell_angle_alpha 90.00
_cell_angle_beta 90.00
_cell_angle_gamma 120.00
loop_
_space_group_symop_operation_xyz
'x,y,z'
loop_
_atom_site_label
_atom_site_type_symbol
_atom_site_fract_x
_atom_site_fract_y
_atom_site_fract_z
_atom_site_occupancy
Cd1 Cd 0.000 0.000 0.029 1
Sr1 Sr 0.667 0.333 0.647 1
Re1 Re 0.333 0.667 0.324 1
# Energy above the most stable polymorph in this dataset: 169 meV per atom
# Density of states at the Fermi level: 0.907 states/eV/atom
# Energy of formation from the pure elements: 0.9759 eV per atom
# Total energy: -4.039 eV/atom
# Magnetic moment: 0.001 μB/cell

***

2.
# SmY7Ho12 PBE relaxed
data_SmY7Ho12
_space_group_name_H-M_alt 'P 1'
_space_group_IT_number 1
_cell_length_a 8.674
_cell_length_b 8.674
_cell_length_c 8.674
_cell_angle_alpha 95.08
_cell_angle_beta 95.08
_cell_angle_gamma 95.08
loop_
_space_group_symop_operation_xyz
'x,y,z'
loop_
_atom_site_label
_atom_site_type_symbol
_atom_site_fract_x
_atom_site_fract_y
_atom_site_fract_z
_atom_site_occupancy
Y1 Y 0.078 0.348 0.010 1
Y2 Y 0.922 0.652 0.990 1
Y3 Y 0.990 0.922 0.652 1
Y4 Y 0.010 0.078 0.348 1
Y5 Y 0.652 0.990 0.922 1
Y6 Y 0.348 0.010 0.078 1
Y7 Y 0.500 0.500 0.500 1
Ho1 Ho 0.411 0.474 0.144 1
Ho2 Ho 0.193 0.749 0.324 1
Ho3 Ho 0.474 0.144 0.411 1
Ho4 Ho 0.749 0.324 0.193 1
Ho5 Ho 0.251 0.676 0.807 1
Ho6 Ho 0.589 0.526 0.856 1
Ho7 Ho 0.676 0.807 0.251 1
Ho8 Ho 0.324 0.193 0.749 1
Ho9 Ho 0.856 0.589 0.526 1
Ho10 Ho 0.807 0.251 0.676 1
Ho11 Ho 0.526 0.856 0.589 1
Ho12 Ho 0.144 0.411 0.474 1
Sm1 Sm 0.000 0.000 0.000 1
# Energy above the most stable polymorph in this dataset: 0 meV per atom
# Density of states at the Fermi level: 0.955 states/eV/atom
# Energy of formation from the pure elements: 0.3099 eV per atom
# Total energy: -4.935 eV/atom
# Magnetic moment: 0.000 μB/cell

***

3.
# Li2DyS2 PBE relaxed
data_Li2DyS2
_space_group_name_H-M_alt 'P 1'
_space_group_IT_number 1
_cell_length_a 3.858
_cell_length_b 3.858
_cell_length_c 8.088
_cell_angle_alpha 76.20
_cell_angle_beta 76.20
_cell_angle_gamma 60.00
loop_
_space_group_symop_operation_xyz
'x,y,z'
loop_
_atom_site_label
_atom_site_type_symbol
_atom_site_fract_x
_atom_site_fract_y
_atom_site_fract_z
_atom_site_occupancy
S1 S 0.594 0.594 0.218 1
S2 S 0.406 0.406 0.782 1
Dy1 Dy 0.000 0.000 0.000 1
Li1 Li 0.226 0.226 0.322 1
Li2 Li 0.774 0.774 0.678 1
# Density of states at the Fermi level: 0.405 states/eV/atom
# Total energy: -4.788 eV/atom
# Magnetic moment: 0.000 μB/cell

***

Question: What is the total energy in the first record?
Answer: -4.039 eV/atom

***

Repeat the second record exactly.
# SmY7Ho12 PBE relaxed
data_SmY7Ho12
_space_group_name_H-M_alt 'P 1'
_space_group_IT_number 1
_cell_length_a 8.674
_cell_length_b 8.674
_cell_length_c 8.674
_cell_angle_alpha 95.08
_cell_angle_beta 95.08
_cell_angle_gamma 95.08
loop_
_space_group_symop_operation_xyz
'x,y,z'
loop_
_atom_site_label
_atom_site_type_symbol
_atom_site_fract_x
_atom_site_fract_y
_atom_site_fract_z
_atom_site_occupancy
Y1 Y 0.078 0.348 0.010 1
Y2 Y 0.922 0.652 0.990 1
Y3 Y 0.990 0.922 0.652 1
Y4 Y 0.010 0.078 0.348 1
Y5 Y 0.652 0.990 0.922 1
Y6 Y 0.348 0.010 0.078 1
Y7 Y 0.500 0.500 0.500 1
Ho1 Ho 0.411 0.474 0.144 1
Ho2 Ho 0.193 0.749 0.324 1
Ho3 Ho 0.474 0.144 0.411 1
Ho4 Ho 0.749 0.324 0.193 1
Ho5 Ho 0.251 0.676 0.807 1
Ho6 Ho 0.589 0.526 0.856 1
Ho7 Ho 0.676 0.807 0.251 1
Ho8 Ho 0.324 0.193 0.749 1
Ho9 Ho 0.856 0.589 0.526 1
Ho10 Ho 0.807 0.251 0.676 1
Ho11 Ho 0.526 0.856 0.589 1
Ho12 Ho 0.144 0.411 0.474 1
Sm1 Sm 0.000 0.000 0.000 1
# Energy above the most stable polymorph in this dataset: 0 meV per atom
# Density of states at the Fermi level: 0.955 states/eV/atom
# Energy of formation from the pure elements: 0.3099 eV per atom
# Total energy: -4.935 eV/atom
# Magnetic moment: 0.000 μB/cell

***

Question: Look up the magnetic moment of the first one.
Answer: 0.001 μB/cell